Entry from the Open Quantum Materials Database: crystalline YHo2Ge4Pd4 at its relaxed geometry (PBE).

Unit cell a=8.108 b=8.108 c=8.108 alpha=150.13 beta=128.08 gamma=61.06
Element x y z (fractional)
Ge1 0.218 0.218 0.000
Ge2 0.782 0.782 0.000
Ge3 0.688 0.500 0.188
Ge4 0.312 0.500 0.812
Ho1 0.626 0.126 0.500
Ho2 0.374 0.874 0.500
Pd1 0.624 0.325 0.299
Pd2 0.974 0.675 0.299
Pd3 0.026 0.325 0.701
Pd4 0.376 0.675 0.701
Y1 0.000 0.000 0.000

Computed properties:
E = -64.88 eV per formula unit
Total magnetic moment = 0.00 μB per atom
Space group = Immm